Entry from Alexandria: a geometry-optimized LaSm3Sb structure (GGA-PBE).

Calculated values
V: 669.0 Å³ per cell
E_form (uncorrected): -38.8 kJ per mole of atoms
total energy: -5.04 eV/atom

a b c (Å): 11.075 4.073 14.832
angles (deg): 90.00 90.00 90.00
Fractional coordinates of all 20 atoms:
La 0.171 0.250 0.010
La 0.329 0.750 0.510
La 0.671 0.250 0.490
La 0.829 0.750 0.990
Sm 0.066 0.250 0.417
Sm 0.082 0.750 0.211
Sm 0.173 0.750 0.794
Sm 0.327 0.250 0.294
Sm 0.418 0.250 0.711
Sm 0.434 0.750 0.917
Sm 0.566 0.250 0.083
Sm 0.582 0.750 0.289
Sm 0.673 0.750 0.706
Sm 0.827 0.250 0.206
Sm 0.918 0.250 0.789
Sm 0.934 0.750 0.583
Sb 0.149 0.250 0.628
Sb 0.351 0.750 0.128
Sb 0.649 0.250 0.872
Sb 0.851 0.750 0.372

Entry from Alexandria: a geometry-optimized LaSm4Sb5 structure (GGA-PBE).

Calculated values
V: 322.8 Å³ per cell
E_form (uncorrected): -115.2 kJ per mole of atoms
total energy: -5.64 eV/atom

a b c (Å): 11.911 11.911 11.911
angles (deg): 158.20 148.99 38.23
Fractional coordinates of all 10 atoms:
La 0.000 0.000 0.000
Sm 0.202 0.202 0.000
Sm 0.399 0.399 0.000
Sm 0.601 0.601 0.000
Sm 0.798 0.798 0.000
Sb 0.103 0.603 0.500
Sb 0.300 0.800 0.500
Sb 0.500 0.000 0.500
Sb 0.700 0.200 0.500
Sb 0.897 0.397 0.500

Entry from Alexandria: a geometry-optimized La3SmSb3 structure (GGA-PBE).

Calculated values
V: 893.2 Å³ per cell
E_form (uncorrected): -107.2 kJ per mole of atoms
total energy: -5.66 eV/atom
relative energy among the computed polymorphs: 0 meV/atom

a b c (Å): 9.631 9.631 9.631
angles (deg): 90.00 90.00 90.00
Fractional coordinates of all 28 atoms:
La 0.068 0.432 0.568
La 0.178 0.822 0.322
La 0.179 0.179 0.179
La 0.321 0.821 0.679
La 0.322 0.178 0.822
La 0.432 0.568 0.068
La 0.568 0.068 0.432
La 0.678 0.678 0.678
La 0.679 0.321 0.821
La 0.821 0.679 0.321
La 0.822 0.322 0.178
La 0.932 0.932 0.932
Sm 0.071 0.571 0.929
Sm 0.429 0.429 0.429
Sm 0.571 0.929 0.071
Sm 0.929 0.071 0.571
Sb 0.001 0.254 0.871
Sb 0.129 0.501 0.246
Sb 0.246 0.129 0.501
Sb 0.254 0.871 0.001
Sb 0.371 0.499 0.746
Sb 0.499 0.746 0.371
Sb 0.501 0.246 0.129
Sb 0.629 0.999 0.754
Sb 0.746 0.371 0.499
Sb 0.754 0.629 0.999
Sb 0.871 0.001 0.254
Sb 0.999 0.754 0.629

Entry from Alexandria: a geometry-optimized La3Sm2Sb3 structure (GGA-PBE).

Calculated values
V: 505.7 Å³ per cell
E_form (uncorrected): -95.1 kJ per mole of atoms
total energy: -5.56 eV/atom

a b c (Å): 9.414 9.414 6.589
angles (deg): 90.00 90.00 120.00
Fractional coordinates of all 16 atoms:
La 0.000 0.252 0.250
La 0.000 0.748 0.750
La 0.252 0.000 0.250
La 0.252 0.252 0.750
La 0.748 0.000 0.750
La 0.748 0.748 0.250
Sm 0.333 0.667 0.000
Sm 0.333 0.667 0.500
Sm 0.667 0.333 0.000
Sm 0.667 0.333 0.500
Sb 0.000 0.390 0.750
Sb 0.000 0.610 0.250
Sb 0.390 0.000 0.750
Sb 0.390 0.390 0.250
Sb 0.610 0.000 0.250
Sb 0.610 0.610 0.750

Entry from Alexandria: a geometry-optimized La4SmSb5 structure (GGA-PBE).

Calculated values
V: 343.4 Å³ per cell
E_form (uncorrected): -121.0 kJ per mole of atoms
total energy: -5.76 eV/atom

a b c (Å): 7.961 7.961 7.961
angles (deg): 99.60 99.60 131.79
Fractional coordinates of all 10 atoms:
La 0.099 0.700 0.799
La 0.300 0.099 0.399
La 0.700 0.901 0.601
La 0.901 0.300 0.201
Sm 0.500 0.500 0.000
Sb 0.000 0.000 0.000
Sb 0.204 0.401 0.605
Sb 0.401 0.796 0.197
Sb 0.599 0.204 0.803
Sb 0.796 0.599 0.395

Entry from Alexandria: a geometry-optimized La2SmSb structure (GGA-PBE).

Calculated values
V: 505.4 Å³ per cell
E_form (uncorrected): -33.0 kJ per mole of atoms
total energy: -5.02 eV/atom
relative energy among the computed polymorphs: 251 meV/atom

a b c (Å): 7.965 7.965 7.965
angles (deg): 90.00 90.00 90.00
Fractional coordinates of all 16 atoms:
La 0.250 0.250 0.250
La 0.250 0.250 0.750
La 0.250 0.750 0.250
La 0.250 0.750 0.750
La 0.750 0.250 0.250
La 0.750 0.250 0.750
La 0.750 0.750 0.250
La 0.750 0.750 0.750
Sm 0.000 0.000 0.000
Sm 0.000 0.500 0.500
Sm 0.500 0.000 0.500
Sm 0.500 0.500 0.000
Sb 0.000 0.000 0.500
Sb 0.000 0.500 0.000
Sb 0.500 0.000 0.000
Sb 0.500 0.500 0.500